No. 1
{
  "formula": "Cd2AuCl6",
  "functional": "GGA-PBE",
  "state": "relaxed",
  "m_tot_mub_per_cell": 2.1,
  "formation_energy_uncorrected_ev_per_fu": -6.55,
  "sg": "C2/c",
  "lattice_angstrom": [[6.2680, -5.5212, 0.0000], [6.2680, 5.5212, 0.0000], [-0.0136, 0.0000, 7.7665]],
  "species": ["Cd", "Cd", "Cd", "Cd", "Au", "Au", "Cl", "Cl", "Cl", "Cl", "Cl", "Cl", "Cl", "Cl", "Cl", "Cl", "Cl", "Cl"],
  "frac_coords": [[0.1151, 0.2563, 0.3056], [0.2563, 0.1151, 0.8056], [0.7437, 0.8849, 0.1944], [0.8849, 0.7437, 0.6944], [0.4044, 0.5956, 0.7500], [0.5956, 0.4044, 0.2500], [0.0262, 0.2110, 0.6090], [0.1287, 0.6176, 0.8646], [0.2110, 0.0262, 0.1090], [0.3140, 0.4547, 0.3549], [0.3824, 0.8713, 0.6354], [0.4547, 0.3140, 0.8549], [0.5453, 0.6860, 0.1451], [0.6176, 0.1287, 0.3646], [0.6860, 0.5453, 0.6451], [0.7890, 0.9738, 0.8910], [0.8713, 0.3824, 0.1354], [0.9738, 0.7890, 0.3910]]
}

No. 2
{
  "formula": "CdAuCl4",
  "functional": "GGA-PBE",
  "state": "relaxed",
  "m_tot_mub_per_cell": 2.1,
  "formation_energy_uncorrected_ev_per_fu": 3.50,
  "sg": "F-43m",
  "polymorph_energy_ev_per_atom": 1.190,
  "lattice_angstrom": [[0.0000, 4.1575, 4.1575], [4.1575, 0.0000, 4.1575], [4.1575, 4.1575, 0.0000]],
  "species": ["Cd", "Au", "Cl", "Cl", "Cl", "Cl"],
  "frac_coords": [[0.0000, 0.0000, 0.0000], [0.2500, 0.2500, 0.2500], [0.1247, 0.6251, 0.6251], [0.6251, 0.1247, 0.6251], [0.6251, 0.6251, 0.1247], [0.6251, 0.6251, 0.6251]]
}

No. 3
{
  "formula": "Cd2AuCl",
  "functional": "GGA-PBE",
  "state": "relaxed",
  "m_tot_mub_per_cell": 0.0,
  "formation_energy_uncorrected_ev_per_fu": -0.61,
  "sg": "P4mm",
  "polymorph_energy_ev_per_atom": 0.214,
  "lattice_angstrom": [[3.2846, 0.0000, 0.0000], [0.0000, 3.2846, 0.0000], [0.0000, 0.0000, 8.4783]],
  "species": ["Cd", "Cd", "Au", "Cl"],
  "frac_coords": [[0.0000, 0.0000, 0.0000], [0.5000, 0.5000, 0.2645], [0.5000, 0.5000, 0.8010], [0.0000, 0.0000, 0.4599]]
}

No. 4
{
  "formula": "Cd2AuCl",
  "functional": "GGA-PBE",
  "state": "relaxed",
  "m_tot_mub_per_cell": 0.0,
  "formation_energy_uncorrected_ev_per_fu": -0.66,
  "sg": "I-4m2",
  "polymorph_energy_ev_per_atom": 0.202,
  "lattice_angstrom": [[-1.9811, 1.9811, 5.9875], [1.9811, -1.9811, 5.9875], [1.9811, 1.9811, -5.9875]],
  "species": ["Cd", "Cd", "Au", "Cl"],
  "frac_coords": [[0.0000, 0.0000, 0.0000], [0.7500, 0.2500, 0.5000], [0.5000, 0.5000, 0.0000], [0.2500, 0.7500, 0.5000]]
}

No. 5
{
  "formula": "CdAuCl",
  "functional": "GGA-PBE",
  "state": "relaxed",
  "m_tot_mub_per_cell": 0.0,
  "formation_energy_uncorrected_ev_per_fu": -0.24,
  "sg": "F-43m",
  "polymorph_energy_ev_per_atom": 0.251,
  "lattice_angstrom": [[0.0000, 3.3527, 3.3527], [3.3527, 0.0000, 3.3527], [3.3527, 3.3527, 0.0000]],
  "species": ["Cd", "Au", "Cl"],
  "frac_coords": [[0.0000, 0.0000, 0.0000], [0.2500, 0.2500, 0.2500], [0.7500, 0.7500, 0.7500]]
}

No. 6
{
  "formula": "Cd2AuCl",
  "functional": "GGA-PBE",
  "state": "relaxed",
  "m_tot_mub_per_cell": 0.0,
  "formation_energy_uncorrected_ev_per_fu": -0.30,
  "sg": "Fm-3m",
  "polymorph_energy_ev_per_atom": 0.293,
  "lattice_angstrom": [[0.0000, 3.5416, 3.5416], [3.5416, 0.0000, 3.5416], [3.5416, 3.5416, 0.0000]],
  "species": ["Cd", "Cd", "Au", "Cl"],
  "frac_coords": [[0.2500, 0.2500, 0.2500], [0.7500, 0.7500, 0.7500], [0.0000, 0.0000, 0.0000], [0.5000, 0.5000, 0.5000]]
}

No. 7
{
  "formula": "Cd2AuCl",
  "functional": "GGA-PBE",
  "state": "relaxed",
  "m_tot_mub_per_cell": 0.0,
  "formation_energy_uncorrected_ev_per_fu": -0.32,
  "sg": "I4/mmm",
  "polymorph_energy_ev_per_atom": 0.285,
  "lattice_angstrom": [[-2.3436, 2.3436, 3.9698], [2.3436, -2.3436, 3.9698], [2.3436, 2.3436, -3.9698]],
  "species": ["Cd", "Cd", "Au", "Cl"],
  "frac_coords": [[0.2500, 0.7500, 0.5000], [0.7500, 0.2500, 0.5000], [0.0000, 0.0000, 0.0000], [0.5000, 0.5000, 0.0000]]
}

No. 8
{
  "formula": "Cd2AuCl",
  "functional": "GGA-PBE",
  "state": "relaxed",
  "m_tot_mub_per_cell": 0.0,
  "formation_energy_uncorrected_ev_per_fu": -1.01,
  "sg": "Pmm2",
  "polymorph_energy_ev_per_atom": 0.115,
  "lattice_angstrom": [[4.3755, 0.0000, 0.0000], [0.0000, 5.8980, 0.0000], [0.0000, 0.0000, 3.6810]],
  "species": ["Cd", "Cd", "Au", "Cl"],
  "frac_coords": [[0.0000, 0.0000, 0.0000], [0.5000, 0.5000, 0.4960], [0.0000, 0.5000, 0.9964], [0.5000, 0.0000, 0.5001]]
}

| no. | calculated volume (A^3/atom) |
| --- | --- |
| 1 | 29.9 |
| 2 | 24.0 |
| 3 | 22.9 |
| 4 | 23.5 |
| 5 | 25.1 |
| 6 | 22.2 |
| 7 | 21.8 |
| 8 | 23.7 |